Computed, not measured: an optimized crystal structure of KVCuO4 at the PBE with a Hubbard U level of DFT.

Raw total energy = -6.12 eV per atom
V = 16.9 Å³/atom
Total moment = 2.0 Bohr magnetons per cell
Space group = P2_1/m

Lattice parameters (Å, degrees): 5.2584 5.6772 8.1413 90.00 102.58 90.00
Fractional positions:
K 0.0732 0.2500 0.1891
K 0.9268 0.7500 0.8109
V 0.2755 0.2500 0.7036
V 0.7245 0.7500 0.2964
Cu 0.4019 0.7500 0.4962
Cu 0.5981 0.2500 0.5038
O 0.0046 0.7500 0.4464
O 0.2040 0.2500 0.8957
O 0.4822 0.0081 0.6646
O 0.4822 0.4919 0.6646
O 0.5178 0.5081 0.3354
O 0.5178 0.9919 0.3354
O 0.7960 0.7500 0.1043
O 0.9954 0.2500 0.5536